Record 1
DFT (PBE) results for a relaxed structure of Ho2AlRh.

Cell: 4.9694 4.9694 4.9694 Å, 60.00 60.00 60.00°
Atoms (fractional coordinates):
Ho1 0.2500 0.2500 0.2500
Ho2 0.7500 0.7500 0.7500
Al1 0.0000 0.0000 0.0000
Rh1 0.5000 0.5000 0.5000

Calculated values
- E above lowest polymorph (meV per atom) = 80
- energy relative to the elements (eV/atom) = -0.5771
- M_tot (μB/cell) = 0.00

***

Record 2
DFT (PBE) results for a relaxed structure of PmTm2Sn3.

Cell: 8.4204 8.4204 5.7436 Å, 103.64 103.64 114.12°
Atoms (fractional coordinates):
Pm1 0.0822 0.9178 0.7500
Pm2 0.9178 0.0822 0.2500
Tm1 0.2490 0.7510 0.2500
Tm2 0.4167 0.5833 0.7500
Tm3 0.5833 0.4167 0.2500
Tm4 0.7510 0.2490 0.7500
Sn1 0.0000 0.5000 0.5000
Sn2 0.1696 0.3422 0.9921
Sn3 0.3422 0.1696 0.4921
Sn4 0.5000 0.0000 0.0000
Sn5 0.6578 0.8304 0.5079
Sn6 0.8304 0.6578 0.0079

Calculated values
- energy relative to the elements (eV/atom) = -0.5952
- M_tot (μB/cell) = 0.00

***

Record 3
DFT (PBE) results for a relaxed structure of La2PuTe3.

Cell: 7.8672 7.8672 7.8672 Å, 146.55 131.88 59.87°
Atoms (fractional coordinates):
La1 0.1693 0.1693 0.0000
La2 0.8307 0.8307 0.0000
Pu1 0.5000 0.5000 0.0000
Te1 0.0000 0.5000 0.5000
Te2 0.3397 0.8397 0.5000
Te3 0.6603 0.1603 0.5000

Calculated values
- E_form (uncorrected) (meV/atom) = -1431
- M_tot (μB/cell) = 6.01

***

Record 4
DFT (PBE) results for a relaxed structure of BeCrFe2.

Cell: 2.3998 3.8628 4.5872 Å, 90.00 102.28 90.00°
Atoms (fractional coordinates):
Be1 0.0000 0.0000 0.0000
Cr1 0.7120 0.5000 0.2582
Fe1 0.2545 0.5000 0.7791
Fe2 0.4883 0.0000 0.5051

Calculated values
- energy relative to the elements (eV/atom) = 0.0200
- M_tot (μB/cell) = 2.39

***

Record 5
DFT (PBE) results for a relaxed structure of SrSmP2O8.

Cell: 5.4352 5.4352 7.4801 Å, 90.00 90.00 120.00°
Atoms (fractional coordinates):
Sr1 0.0000 0.0000 0.0000
Sm1 0.0000 0.0000 0.5000
P1 0.3333 0.6667 0.7802
P2 0.6667 0.3333 0.2198
O1 0.1766 0.3562 0.7120
O2 0.1796 0.8234 0.7120
O3 0.3333 0.6667 0.9870
O4 0.3562 0.1796 0.2880
O5 0.6438 0.8204 0.7120
O6 0.6667 0.3333 0.0130
O7 0.8204 0.1766 0.2880
O8 0.8234 0.6438 0.2880

Calculated values
- E_form (uncorrected) (meV/atom) = -2639
- M_tot (μB/cell) = 1.04

***

Record 6
DFT (PBE) results for a relaxed structure of KRh.

Cell: 6.6530 6.6530 6.3250 Å, 90.00 90.00 90.00°
Atoms (fractional coordinates):
K1 0.1833 0.1833 0.0000
K2 0.3167 0.6833 0.5000
K3 0.6833 0.3167 0.5000
K4 0.8167 0.8167 0.0000
Rh1 0.1257 0.1257 0.5000
Rh2 0.3744 0.6256 0.0000
Rh3 0.6256 0.3744 0.0000
Rh4 0.8744 0.8744 0.5000

Calculated values
- E above lowest polymorph (meV per atom) = 720
- energy relative to the elements (eV/atom) = 1.0885
- M_tot (μB/cell) = 4.67

***

Record 7
DFT (PBE) results for a relaxed structure of CePaZn4.

Cell: 5.4600 5.4600 5.4600 Å, 60.00 60.00 60.00°
Atoms (fractional coordinates):
Ce1 0.0000 0.0000 0.0000
Pa1 0.7500 0.7500 0.7500
Zn1 0.3751 0.3751 0.3751
Zn2 0.3751 0.3751 0.8747
Zn3 0.3751 0.8747 0.3751
Zn4 0.8747 0.3751 0.3751

Calculated values
- E above lowest polymorph (meV per atom) = 55
- energy relative to the elements (eV/atom) = -0.1350
- M_tot (μB/cell) = 2.19

***

Record 8
DFT (PBE) results for a relaxed structure of ZrCdOs2.

Cell: 5.1325 5.1325 5.1325 Å, 134.06 134.06 66.99°
Atoms (fractional coordinates):
Zr1 0.0000 0.0000 0.0000
Cd1 0.2500 0.7500 0.5000
Os1 0.5000 0.5000 0.0000
Os2 0.7500 0.2500 0.5000

Calculated values
- energy relative to the elements (eV/atom) = 0.2712
- M_tot (μB/cell) = 0.00

***

Record 9
DFT (PBE) results for a relaxed structure of Hf2AlZnRe.

Cell: 4.9935 4.9935 4.8470 Å, 90.00 90.00 90.00°
Atoms (fractional coordinates):
Hf1 0.0000 0.5000 0.0000
Hf2 0.5000 0.0000 0.0000
Al1 0.0000 0.0000 0.5000
Zn1 0.5000 0.5000 0.5000
Re1 0.5000 0.5000 0.0000

Calculated values
- energy relative to the elements (eV/atom) = 0.7265
- M_tot (μB/cell) = 0.00

***

Record 10
DFT (PBE) results for a relaxed structure of TmAgPb2.

Cell: 11.1157 11.1157 11.1157 Å, 17.91 17.91 17.91°
Atoms (fractional coordinates):
Tm1 0.0000 0.0000 0.0000
Ag1 0.5000 0.5000 0.5000
Pb1 0.0953 0.0953 0.0953
Pb2 0.9047 0.9047 0.9047

Calculated values
- energy relative to the elements (eV/atom) = 0.1291
- M_tot (μB/cell) = 0.00

***

Record 11
DFT (PBE) results for a relaxed structure of LuMnCoIr.

Cell: 4.4562 4.4562 4.4562 Å, 60.00 60.00 60.00°
Atoms (fractional coordinates):
Lu1 0.0000 0.0000 0.0000
Mn1 0.5000 0.5000 0.5000
Co1 0.7500 0.7500 0.7500
Ir1 0.2500 0.2500 0.2500

Calculated values
- energy relative to the elements (eV/atom) = -0.2596
- M_tot (μB/cell) = 4.53

***

Record 12
DFT (PBE) results for a relaxed structure of TiCrAs3.

Cell: 4.6668 4.6668 4.6668 Å, 90.00 90.00 90.00°
Atoms (fractional coordinates):
Ti1 0.0000 0.0000 0.0000
Cr1 0.5000 0.5000 0.5000
As1 0.0000 0.5000 0.5000
As2 0.5000 0.0000 0.5000
As3 0.5000 0.5000 0.0000

Calculated values
- E above lowest polymorph (meV per atom) = 0
- energy relative to the elements (eV/atom) = 0.4373
- M_tot (μB/cell) = 3.37

***

Record 13
DFT (PBE) results for a relaxed structure of CaTlP2Cl.

Cell: 5.0392 5.0392 5.6142 Å, 90.00 90.00 90.00°
Atoms (fractional coordinates):
Ca1 0.0000 0.0000 0.0000
Tl1 0.5000 0.5000 0.5000
P1 0.0000 0.5000 0.5000
P2 0.5000 0.0000 0.5000
Cl1 0.5000 0.5000 0.0000

Calculated values
- E_form (uncorrected) (meV/atom) = 106
- E above lowest polymorph (meV per atom) = 27
- M_tot (μB/cell) = 0.00

***

Record 14
DFT (PBE) results for a relaxed structure of KAg2SnSe4.

Cell: 6.6848 6.6848 6.6848 Å, 114.23 114.23 100.33°
Atoms (fractional coordinates):
K1 0.0000 0.0000 0.0000
Ag1 0.2500 0.7500 0.5000
Ag2 0.7500 0.2500 0.5000
Sn1 0.5000 0.5000 0.0000
Se1 0.1205 0.5299 0.0000
Se2 0.4701 0.4701 0.5905
Se3 0.5299 0.1205 0.0000
Se4 0.8795 0.8795 0.4095

Calculated values
- E_form (uncorrected) (meV/atom) = -427
- M_tot (μB/cell) = 0.00

***

Record 15
DFT (PBE) results for a relaxed structure of Ag2H2I.

Cell: 7.2414 7.2414 7.2414 Å, 149.21 149.21 44.10°
Atoms (fractional coordinates):
Ag1 0.2151 0.2151 0.0000
Ag2 0.7849 0.7849 0.0000
H1 0.2500 0.7500 0.5000
H2 0.7500 0.2500 0.5000
I1 0.0000 0.0000 0.0000

Calculated values
- total DFT energy (no corrections) (eV for the cell shown) = -13.10
- M_tot (μB/cell) = 0.00

***

Record 16
DFT (PBE) results for a relaxed structure of RbHf3Ru.

Cell: 4.8720 4.8720 4.8720 Å, 90.00 90.00 90.00°
Atoms (fractional coordinates):
Rb1 0.0000 0.0000 0.0000
Hf1 0.0000 0.0000 0.5000
Hf2 0.0000 0.5000 0.0000
Hf3 0.5000 0.0000 0.0000
Ru1 0.5000 0.5000 0.5000

Calculated values
- E above lowest polymorph (meV per atom) = 1964
- energy relative to the elements (eV/atom) = 2.5546
- M_tot (μB/cell) = 0.00

***

Record 17
DFT (PBE) results for a relaxed structure of MnOsCCl2.

Cell: 4.5661 4.5661 5.2365 Å, 90.00 90.00 90.00°
Atoms (fractional coordinates):
Mn1 0.0000 0.0000 0.0000
Os1 0.0000 0.0000 0.5000
C1 0.5000 0.5000 0.0000
Cl1 0.0000 0.5000 0.5000
Cl2 0.5000 0.0000 0.5000

Calculated values
- E_form (uncorrected) (meV/atom) = 1805
- M_tot (μB/cell) = 1.68

***

Record 18
DFT (PBE) results for a relaxed structure of GePO2F.

Cell: 4.4567 4.4567 3.4243 Å, 90.00 90.00 90.00°
Atoms (fractional coordinates):
Ge1 0.0000 0.0000 0.0000
P1 0.5000 0.5000 0.0000
O1 0.0000 0.5000 0.5000
O2 0.5000 0.0000 0.5000
F1 0.5000 0.5000 0.5000

Calculated values
- E_form (uncorrected) (meV/atom) = 570
- M_tot (μB/cell) = 0.44

***

Record 19
DFT (PBE) results for a relaxed structure of Cu3Hg2Pd4.

Cell: 4.0308 4.8376 8.3003 Å, 74.26 76.08 65.52°
Atoms (fractional coordinates):
Cu1 0.0000 0.0000 0.0000
Cu2 0.3475 0.7489 0.5566
Cu3 0.6525 0.2511 0.4434
Hg1 0.3200 0.1299 0.2299
Hg2 0.6800 0.8701 0.7701
Pd1 0.0210 0.3036 0.6547
Pd2 0.3406 0.4318 0.8866
Pd3 0.6594 0.5682 0.1134
Pd4 0.9790 0.6964 0.3453

Calculated values
- energy relative to the elements (eV/atom) = -0.0925
- M_tot (μB/cell) = 0.00

***

Record 20
DFT (PBE) results for a relaxed structure of YZnTe2.

Cell: 9.1350 9.1350 9.1350 Å, 28.02 28.02 28.02°
Atoms (fractional coordinates):
Y1 0.0000 0.0000 0.0000
Zn1 0.5000 0.5000 0.5000
Te1 0.3991 0.3991 0.3991
Te2 0.6009 0.6009 0.6009

Calculated values
- E_form (uncorrected) (meV/atom) = -684
- E above lowest polymorph (meV per atom) = 242
- M_tot (μB/cell) = 0.00

***

Record 21
DFT (PBE) results for a relaxed structure of KAs3.

Cell: 5.7676 5.7676 5.7676 Å, 90.00 90.00 90.00°
Atoms (fractional coordinates):
K1 0.0000 0.0000 0.0000
As1 0.0000 0.0000 0.5000
As2 0.0000 0.5000 0.0000
As3 0.5000 0.0000 0.0000

Calculated values
- E above lowest polymorph (meV per atom) = 2036
- energy relative to the elements (eV/atom) = 1.9126
- M_tot (μB/cell) = 1.63

***

Record 22
DFT (PBE) results for a relaxed structure of ZnCu7Au4.

Cell: 5.2024 5.2024 9.2918 Å, 111.15 111.15 52.41°
Atoms (fractional coordinates):
Zn1 0.0000 0.0000 0.0000
Cu1 0.1265 0.1265 0.4748
Cu2 0.2844 0.2844 0.0832
Cu3 0.3485 0.3485 0.3845
Cu4 0.5000 0.5000 0.0000
Cu5 0.6515 0.6515 0.6155
Cu6 0.7156 0.7156 0.9168
Cu7 0.8735 0.8735 0.5252
Au1 0.1410 0.1410 0.7734
Au2 0.4088 0.4088 0.6956
Au3 0.5912 0.5912 0.3044
Au4 0.8590 0.8590 0.2266

Calculated values
- energy relative to the elements (eV/atom) = 0.0928
- M_tot (μB/cell) = 0.00

***

Record 23
DFT (PBE) results for a relaxed structure of TaMn5.

Cell: 4.8980 4.8980 5.8821 Å, 107.07 107.07 33.55°
Atoms (fractional coordinates):
Ta1 0.0000 0.0000 0.0000
Mn1 0.3040 0.3040 0.1428
Mn2 0.3333 0.3333 0.6525
Mn3 0.6639 0.6639 0.7829
Mn4 0.6706 0.6706 0.3658
Mn5 0.9827 0.9827 0.4792

Calculated values
- energy relative to the elements (eV/atom) = 0.1117
- M_tot (μB/cell) = 2.93

***

Record 24
DFT (PBE) results for a relaxed structure of HgGe2S2.

Cell: 9.5283 9.5283 3.3190 Å, 90.00 90.00 90.00°
Atoms (fractional coordinates):
Hg1 0.0000 0.0000 0.0000
Hg2 0.5000 0.5000 0.0000
Ge1 0.2356 0.2644 0.5000
Ge2 0.2644 0.7644 0.5000
Ge3 0.7356 0.2356 0.5000
Ge4 0.7644 0.7356 0.5000
S1 0.1467 0.6467 0.0000
S2 0.3533 0.1467 0.0000
S3 0.6467 0.8533 0.0000
S4 0.8533 0.3533 0.0000

Calculated values
- E_form (uncorrected) (meV/atom) = 26
- E above lowest polymorph (meV per atom) = 220
- M_tot (μB/cell) = 0.00

***

Record 25
DFT (PBE) results for a relaxed structure of CeTaB.

Cell: 8.2886 8.2886 8.2886 Å, 27.11 27.11 27.11°
Atoms (fractional coordinates):
Ce1 0.1317 0.1317 0.1317
Ce2 0.8683 0.8683 0.8683
Ta1 0.2942 0.2942 0.2942
Ta2 0.7058 0.7058 0.7058
B1 0.3952 0.3952 0.3952
B2 0.6048 0.6048 0.6048

Calculated values
- energy relative to the elements (eV/atom) = -0.0917
- M_tot (μB/cell) = 0.00

***

Record 26
DFT (PBE) results for a relaxed structure of TeW2I.

Cell: 4.7402 4.7402 4.7402 Å, 60.00 60.00 60.00°
Atoms (fractional coordinates):
Te1 0.0000 0.0000 0.0000
W1 0.2500 0.2500 0.2500
W2 0.7500 0.7500 0.7500
I1 0.5000 0.5000 0.5000

Calculated values
- E_form (uncorrected) (meV/atom) = 1187
- E above lowest polymorph (meV per atom) = 0
- M_tot (μB/cell) = 0.00

***

Record 27
DFT (PBE) results for a relaxed structure of CrHOs.

Cell: 2.7464 2.7464 3.7993 Å, 90.00 90.00 90.00°
Atoms (fractional coordinates):
Cr1 0.0000 0.0000 0.0000
H1 0.0000 0.0000 0.5000
Os1 0.5000 0.5000 0.5000

Calculated values
- E above lowest polymorph (meV per atom) = 192
- M_tot (μB/cell) = 0.50